DFT (PBE) results for a relaxed Y3HgO crystal.

The crystal system is trigonal. Its formation energy (no corrections) is -853 meV per atom. The value obtained for the energy above the most stable polymorph in this dataset is 0.549 eV per atom.

The space group is R3m (No. 160, hexagonal axes) and the conventional cell measures 9.4447, 9.4447 and 5.7147 Å, with angles of 90.00, 90.00 and 120.00 degrees. The asymmetric unit holds Y at (0.0850, 0.5425, 0.0000), Hg at (0.0000, 0.0000, 0.7649) and O at (0.0000, 0.0000, 0.2099).

***

DFT (PBE) results for a relaxed ZrTlCu crystal.

The crystal system is triclinic. The calculation puts the raw total energy at -4.928 eV per atom.

The space group is P1 (No. 1) and the conventional cell measures 3.2046, 5.7787 and 7.4386 Å, with angles of 111.84, 90.07 and 106.09 degrees. The asymmetric unit holds Zr at (0.0000, 0.0000, 0.0000), Zr at (0.3180, 0.6391, 0.1493), Tl at (0.6470, 0.2951, 0.3829), Tl at (0.9522, 0.9085, 0.5588), Cu at (0.2918, 0.5880, 0.7390) and Cu at (0.6555, 0.3126, 0.8427).